# 1
# BeSi2Cl

An optimized crystal structure of BeSi2Cl (PBE, Alexandria via LeMat-Bulk).

Results
Its crystal system is orthorhombic. As for the total energy: -0.133 hartree per atom.

a = 3.001 Å, b = 3.001 Å, c = 7.187 Å
α = 90.00°, β = 90.00°, γ = 106.80°
Fractional coordinates of all 4 atoms:
Si  0.000  0.000  0.051
Si  0.000  0.000  0.449
Cl  0.500  0.500  0.750
Be  0.500  0.500  0.250

---

# 2
# Nb3HgSb

An optimized crystal structure of Nb3HgSb (PBE, Alexandria via LeMat-Bulk).

Results
Its crystal system is cubic. As for the total energy: -0.193 hartree per atom.

a = 5.065 Å, b = 5.065 Å, c = 5.065 Å
α = 90.00°, β = 90.00°, γ = 90.00°
Fractional coordinates of all 5 atoms:
Nb  0.000  0.500  0.000
Nb  0.000  0.000  0.500
Nb  0.500  0.000  0.000
Sb  0.500  0.500  0.500
Hg  0.000  0.000  0.000